(1)
A relaxed CeErInCu crystal, computed with PBE.

Values from the calculation:
DFT formation energy (eV per atom): -0.19

Unit cell a=5.205 b=5.205 c=5.205 alpha=60.00 beta=60.00 gamma=60.00
Sites, in units of the cell vectors:
Er  0.500  0.500  0.500
In  0.250  0.250  0.250
Cu  0.750  0.750  0.750
Ce  0.000  0.000  0.000

***

(2)
A relaxed HfTi2Tc crystal, computed with PBE.

Values from the calculation:
Offset from the most stable computed form (eV per atom): 0.239
DFT formation energy (eV per atom): -0.07

Unit cell a=4.780 b=3.821 c=3.821 alpha=90.00 beta=90.00 gamma=90.00
Sites, in units of the cell vectors:
Hf  0.500  0.500  0.500
Ti  0.000  0.000  0.500
Ti  0.000  0.500  0.000
Tc  0.500  0.000  0.000

***

(3)
A relaxed MnSb2IrSe crystal, computed with PBE.

Values from the calculation:
Formation energy (no corrections) (eV/atom): 1.57

Unit cell a=5.386 b=4.520 c=5.386 alpha=90.00 beta=90.00 gamma=90.00
Sites, in units of the cell vectors:
Sb  0.500  0.000  0.000
Sb  0.000  0.000  0.500
Mn  0.500  0.500  0.500
Se  0.000  0.000  0.000
Ir  0.000  0.500  0.000

***

(4)
A relaxed Zn2CdBPd crystal, computed with PBE.

Values from the calculation:
DFT formation energy (eV per atom): 0.24

Unit cell a=4.123 b=4.543 c=4.123 alpha=90.00 beta=90.00 gamma=90.00
Sites, in units of the cell vectors:
Zn  0.500  0.000  0.000
Zn  0.000  0.000  0.500
Pd  0.500  0.500  0.500
Cd  0.000  0.500  0.000
B  0.000  0.000  0.000